Entry 1:
This record from Alexandria describes Hf4ReSn2 after structural relaxation. The functional is PBE.

Structure (POSCAR):
```
Hf4ReSn2
1.0
4.921 0.000 0.000
0.000 4.921 0.000
2.461 2.461 7.524
Re Hf Sn
1 4 2
Direct
0.000 0.000 0.000 Re
0.170 0.170 0.659 Hf
0.830 0.830 0.341 Hf
0.000 0.500 0.000 Hf
0.500 0.000 0.000 Hf
0.363 0.363 0.274 Sn
0.637 0.637 0.726 Sn
```

Values from the calculation:
**Magnetic moment**: 0.0000 μB per atom
**Calculated total energy**: -57.8 eV per cell
**Energy relative to the elements**: 0.3542 eV per atom
**Crystal system**: tetragonal


Entry 2:
This record from Alexandria describes LiLaYBe after structural relaxation. The functional is PBE.

Structure (POSCAR):
```
LiLaYBe
1.0
-0.266 -5.127 0.282
2.197 -2.892 -3.639
4.214 -2.737 1.087
Y Be Li La
1 1 1 1
Direct
0.750 0.750 0.750 Y
0.500 0.500 0.500 Be
0.000 0.000 0.000 Li
0.250 0.250 0.250 La
```

Values from the calculation:
**Magnetic moment**: 0.0002 μB per atom
**Calculated total energy**: -16.4 eV per cell
**Energy relative to the elements**: 0.1618 eV per atom
**Crystal system**: cubic


Entry 3:
This record from Alexandria describes HfTcAsBr2 after structural relaxation. The functional is PBE.

Structure (POSCAR):
```
HfTcAsBr2
1.0
-3.035 -3.833 -1.648
4.165 -2.902 -0.922
-0.250 -1.936 4.965
As Hf Tc Br
1 1 1 2
Direct
0.000 0.000 0.500 As
0.000 0.000 0.000 Hf
0.500 0.500 0.500 Tc
0.000 0.500 0.000 Br
0.500 0.000 0.000 Br
```

Values from the calculation:
**Magnetic moment**: 0.9654 μB per atom
**Calculated total energy**: -25.8 eV per cell
**Crystal system**: tetragonal


Entry 4:
This record from Alexandria describes PrNd3 after structural relaxation. The functional is PBE.

Structure (POSCAR):
```
PrNd3
1.0
3.703 0.000 0.000
0.000 6.440 0.000
-1.852 -3.220 6.005
Pr Nd
1 3
Direct
0.000 0.003 0.000 Pr
0.250 0.580 0.500 Nd
0.500 0.503 0.000 Nd
0.750 0.081 0.500 Nd
```

Values from the calculation:
**Magnetic moment**: 0.0000 μB per atom
**Calculated total energy**: -19.0 eV per cell
**Energy relative to the elements**: 0.0309 eV per atom
**Crystal system**: orthorhombic


Entry 5:
This record from Alexandria describes TmAgS2 after structural relaxation. The functional is PBE.

Structure (POSCAR):
```
TmAgS2
1.0
-3.838 -3.916 -3.702
-0.578 -5.976 -2.780
-3.507 -5.609 -0.132
S Tm Ag
2 1 1
Direct
0.245 0.245 0.245 S
0.755 0.755 0.755 S
0.500 0.500 0.500 Tm
0.000 0.000 0.000 Ag
```

Values from the calculation:
**Magnetic moment**: 0.0000 μB per atom
**Calculated total energy**: -20.7 eV per cell
**Crystal system**: trigonal


Entry 6:
This record from Alexandria describes Ta2NbCrBr after structural relaxation. The functional is PBE.

Structure (POSCAR):
```
Ta2NbCrBr
1.0
4.681 0.000 0.000
0.000 4.667 0.000
0.000 0.000 4.681
Cr Nb Br Ta
1 1 1 2
Direct
0.500 0.500 0.500 Cr
0.000 0.500 0.000 Nb
0.000 0.000 0.000 Br
0.000 0.000 0.500 Ta
0.500 0.000 0.000 Ta
```

Values from the calculation:
**Magnetic moment**: 0.0303 μB per atom
**Calculated total energy**: -36.2 eV per cell
**Crystal system**: tetragonal


Entry 7:
This record from Alexandria describes LiCa2SbH after structural relaxation. The functional is PBE.

Structure (POSCAR):
```
LiCa2SbH
1.0
-4.849 -0.450 0.168
0.474 -4.202 2.422
-0.071 2.184 3.804
Sb Ca H Li
1 2 1 1
Direct
0.500 0.500 0.500 Sb
0.000 0.500 0.000 Ca
0.500 0.000 0.000 Ca
0.000 0.000 0.000 H
0.000 0.000 0.500 Li
```

Values from the calculation:
**Magnetic moment**: 0.0000 μB per atom
**Calculated total energy**: -16.5 eV per cell
**Crystal system**: tetragonal


Entry 8:
This record from Alexandria describes MgZr3Ir2 after structural relaxation. The functional is PBE.

Structure (POSCAR):
```
MgZr3Ir2
1.0
6.468 0.000 0.000
0.000 6.582 0.000
-3.234 -3.291 6.347
Mg Zr Ir
2 6 4
Direct
0.000 0.500 0.000 Mg
0.000 0.000 0.000 Mg
0.500 0.250 0.000 Zr
0.500 0.750 0.000 Zr
0.769 0.019 0.538 Zr
0.231 0.481 0.462 Zr
0.231 0.981 0.462 Zr
0.769 0.519 0.538 Zr
0.565 0.360 0.720 Ir
0.845 0.140 0.280 Ir
0.155 0.860 0.720 Ir
0.435 0.640 0.280 Ir
```

Values from the calculation:
**Magnetic moment**: 0.0000 μB per atom
**Calculated total energy**: -96.2 eV per cell
**Energy relative to the elements**: -0.5203 eV per atom
**Crystal system**: orthorhombic


Entry 9:
This record from Alexandria describes ZnBO3 after structural relaxation. The functional is PBE.

Structure (POSCAR):
```
ZnBO3
1.0
-2.547 0.221 2.204
1.647 -2.056 2.110
1.481 2.668 1.444
Zn B O
1 1 3
Direct
0.000 0.000 0.000 Zn
0.500 0.500 0.500 B
0.500 0.500 0.000 O
0.500 0.000 0.500 O
0.000 0.500 0.500 O
```

Values from the calculation:
**Magnetic moment**: 0.1021 μB per atom
**Calculated total energy**: -25.9 eV per cell
**Crystal system**: cubic


Entry 10:
This record from Alexandria describes Ba2LiHg6Pb after structural relaxation. The functional is PBE.

Structure (POSCAR):
```
Ba2LiHg6Pb
1.0
9.374 0.785 1.935
0.587 5.900 -0.976
6.446 3.238 6.335
Ba Li Hg Pb
2 1 6 1
Direct
0.354 0.821 0.455 Ba
0.646 0.179 0.545 Ba
0.500 0.500 0.000 Li
0.256 0.558 0.921 Hg
0.751 0.918 0.829 Hg
0.105 0.342 0.548 Hg
0.744 0.442 0.079 Hg
0.249 0.082 0.171 Hg
0.895 0.658 0.452 Hg
0.000 0.000 0.000 Pb
```

Values from the calculation:
**Magnetic moment**: 0.0000 μB per atom
**Calculated total energy**: -14.8 eV per cell
**Energy relative to the elements**: -0.3547 eV per atom
**Crystal system**: triclinic


Entry 11:
This record from Alexandria describes AlVSb2 after structural relaxation. The functional is PBE.

Structure (POSCAR):
```
AlVSb2
1.0
-3.652 -0.468 5.022
-2.375 -5.311 -2.222
1.451 -6.118 4.346
Sb Al V
4 2 2
Direct
0.629 0.125 0.250 Sb
0.121 0.625 0.250 Sb
0.375 0.371 0.750 Sb
0.875 0.879 0.750 Sb
0.500 0.500 0.000 Al
0.250 0.750 0.500 Al
0.000 0.000 0.000 V
0.750 0.250 0.500 V
```

Values from the calculation:
**Magnetic moment**: 0.5000 μB per atom
**Calculated total energy**: -40.1 eV per cell
**Crystal system**: tetragonal


Entry 12:
This record from Alexandria describes Th2MgFe after structural relaxation. The functional is PBE.

Structure (POSCAR):
```
Th2MgFe
1.0
-0.769 -3.689 0.974
0.468 -1.179 3.680
-8.182 0.514 3.263
Th Mg Fe
2 1 1
Direct
0.058 0.058 0.825 Th
0.275 0.275 0.174 Th
0.499 0.499 0.502 Mg
0.667 0.667 0.999 Fe
```

Values from the calculation:
**Magnetic moment**: 0.0000 μB per atom
**Calculated total energy**: -24.7 eV per cell
**Energy relative to the elements**: 0.0613 eV per atom
**Crystal system**: trigonal


Entry 13:
This record from Alexandria describes Tm2PaFe after structural relaxation. The functional is PBE.

Structure (POSCAR):
```
Tm2PaFe
1.0
6.110 0.000 0.000
0.000 6.747 0.000
0.000 0.000 9.398
Tm Pa Fe
8 4 4
Direct
0.174 0.671 0.068 Tm
0.326 0.171 0.432 Tm
0.826 0.329 0.568 Tm
0.674 0.829 0.932 Tm
0.826 0.329 0.932 Tm
0.674 0.829 0.568 Tm
0.174 0.671 0.432 Tm
0.326 0.171 0.068 Tm
0.672 0.558 0.250 Pa
0.828 0.058 0.250 Pa
0.328 0.442 0.750 Pa
0.172 0.942 0.750 Pa
0.997 0.358 0.250 Fe
0.503 0.858 0.250 Fe
0.003 0.642 0.750 Fe
0.497 0.142 0.750 Fe
```

Values from the calculation:
**Magnetic moment**: 0.0000 μB per atom
**Calculated total energy**: -110.3 eV per cell
**Energy relative to the elements**: -0.1696 eV per atom
**Crystal system**: orthorhombic


Entry 14:
This record from Alexandria describes PrYMgIr after structural relaxation. The functional is PBE.

Structure (POSCAR):
```
PrYMgIr
1.0
-1.747 4.376 -2.050
-2.376 -0.066 -4.556
-5.057 0.870 -0.273
Pr Y Mg Ir
1 1 1 1
Direct
0.250 0.250 0.250 Pr
0.750 0.750 0.750 Y
0.500 0.500 0.500 Mg
0.000 0.000 0.000 Ir
```

Values from the calculation:
**Magnetic moment**: 0.0000 μB per atom
**Calculated total energy**: -23.1 eV per cell
**Energy relative to the elements**: -0.3517 eV per atom
**Crystal system**: cubic


Entry 15:
This record from Alexandria describes CaCd2Cu after structural relaxation. The functional is PBE.

Structure (POSCAR):
```
CaCd2Cu
1.0
5.672 -1.046 -0.626
4.622 3.450 -0.626
4.622 1.080 3.336
Ca Cu Cd
1 1 2
Direct
0.750 0.750 0.750 Ca
0.250 0.250 0.250 Cu
0.963 0.963 0.963 Cd
0.537 0.537 0.537 Cd
```

Values from the calculation:
**Magnetic moment**: 0.0000 μB per atom
**Calculated total energy**: -8.3 eV per cell
**Energy relative to the elements**: -0.1011 eV per atom
**Crystal system**: trigonal


Entry 16:
This record from Alexandria describes Mg2NiHg after structural relaxation. The functional is PBE.

Structure (POSCAR):
```
Mg2NiHg
1.0
9.384 0.069 0.041
8.857 3.103 0.041
8.857 1.540 2.694
Hg Mg Ni
1 2 1
Direct
0.750 0.750 0.750 Hg
0.986 0.986 0.986 Mg
0.514 0.514 0.514 Mg
0.250 0.250 0.250 Ni
```

Values from the calculation:
**Magnetic moment**: 0.0003 μB per atom
**Calculated total energy**: -9.2 eV per cell
**Energy relative to the elements**: 0.0156 eV per atom
**Crystal system**: trigonal


Entry 17:
This record from Alexandria describes Ga3TeN after structural relaxation. The functional is PBE.

Structure (POSCAR):
```
Ga3TeN
1.0
-1.844 1.385 -5.099
-5.206 0.445 2.004
0.902 5.404 1.141
Te Ga N
1 3 1
Direct
0.000 0.000 0.000 Te
0.000 0.500 0.000 Ga
0.000 0.000 0.500 Ga
0.500 0.000 0.000 Ga
0.500 0.500 0.500 N
```

Values from the calculation:
**Magnetic moment**: 0.0000 μB per atom
**Calculated total energy**: -12.0 eV per cell
**Crystal system**: cubic


Entry 18:
This record from Alexandria describes Rb2TaFe after structural relaxation. The functional is PBE.

Structure (POSCAR):
```
Rb2TaFe
1.0
0.000 3.996 3.996
3.996 0.000 3.996
3.996 3.996 0.000
Fe Rb Ta
1 2 1
Direct
0.000 0.000 0.000 Fe
0.250 0.250 0.250 Rb
0.750 0.750 0.750 Rb
0.500 0.500 0.500 Ta
```

Values from the calculation:
**Magnetic moment**: 0.1284 μB per atom
**Calculated total energy**: -11.3 eV per cell
**Energy relative to the elements**: 2.7429 eV per atom
**Crystal system**: cubic


Entry 19:
This record from Alexandria describes Ba2CaI6 after structural relaxation. The functional is PBE.

Structure (POSCAR):
```
Ba2CaI6
1.0
-2.925 7.422 5.386
3.754 -4.903 8.796
17.031 1.916 6.609
Ba Ca I
8 4 24
Direct
0.716 0.293 0.091 Ba
0.893 0.644 0.715 Ba
0.393 0.356 0.785 Ba
0.216 0.707 0.409 Ba
0.784 0.293 0.591 Ba
0.607 0.644 0.215 Ba
0.107 0.356 0.285 Ba
0.284 0.707 0.909 Ba
0.647 0.933 0.428 Ca
0.147 0.067 0.072 Ca
0.853 0.933 0.928 Ca
0.353 0.067 0.572 Ca
0.336 0.027 0.415 I
0.257 0.726 0.706 I
0.609 0.576 0.864 I
0.945 0.829 0.485 I
0.049 0.407 0.931 I
0.055 0.093 0.223 I
0.555 0.907 0.277 I
0.445 0.171 0.015 I
0.549 0.593 0.569 I
0.109 0.424 0.636 I
0.757 0.274 0.794 I
0.836 0.973 0.085 I
0.164 0.027 0.915 I
0.243 0.726 0.206 I
0.891 0.576 0.364 I
0.451 0.407 0.431 I
0.555 0.829 0.985 I
0.445 0.093 0.723 I
0.945 0.907 0.777 I
0.951 0.593 0.069 I
0.055 0.171 0.515 I
0.391 0.424 0.136 I
0.743 0.274 0.294 I
0.664 0.973 0.585 I
```

Values from the calculation:
**Magnetic moment**: 0.0000 μB per atom
**Calculated total energy**: -121.5 eV per cell
**Crystal system**: monoclinic


Entry 20:
This record from Alexandria describes BeSb5 after structural relaxation. The functional is PBE.

Structure (POSCAR):
```
BeSb5
1.0
2.036 6.524 0.143
-2.036 6.524 0.143
0.000 0.841 6.834
Be Sb
1 5
Direct
0.966 0.966 0.074 Be
0.349 0.349 0.235 Sb
0.641 0.641 0.795 Sb
0.572 0.572 0.210 Sb
0.986 0.986 0.693 Sb
0.320 0.320 0.826 Sb
```

Values from the calculation:
**Magnetic moment**: 0.0000 μB per atom
**Calculated total energy**: -23.0 eV per cell
**Crystal system**: monoclinic